## Pr2Er7Tm4 (PBE)

Data for a geometry-optimized Pr2Er7Tm4 structure.

Cell: 6.023 6.023 13.288 Å, 90.00 90.00 120.00°
Sites, in units of the cell vectors:
1 Pr 0.333 0.667 0.000
2 Pr 0.667 0.333 0.000
3 Er 0.000 0.000 0.000
4 Er 0.000 0.350 0.217
5 Er 0.000 0.650 0.783
6 Er 0.350 0.000 0.217
7 Er 0.350 0.350 0.783
8 Er 0.650 0.000 0.783
9 Er 0.650 0.650 0.217
10 Tm 0.000 0.000 0.396
11 Tm 0.000 0.000 0.604
12 Tm 0.333 0.667 0.500
13 Tm 0.667 0.333 0.500

Computed properties:
crystal system: trigonal
total moment: 0.0000 μB/atom
energy relative to the elements: 204 meV/atom
space-group type: P-31m, No. 162

---

## Pr3Y2Er8 (PBE)

Data for a geometry-optimized Pr3Y2Er8 structure.

Cell: 5.977 6.429 11.085 Å, 89.91 89.99 84.86°
Sites, in units of the cell vectors:
1 Pr 0.000 0.000 0.000
2 Pr 0.372 0.270 0.001
3 Pr 0.628 0.730 0.999
4 Y 0.246 0.673 0.500
5 Y 0.754 0.327 0.500
6 Er 0.234 0.650 0.798
7 Er 0.237 0.652 0.202
8 Er 0.253 0.155 0.668
9 Er 0.254 0.156 0.332
10 Er 0.746 0.844 0.668
11 Er 0.747 0.845 0.332
12 Er 0.763 0.348 0.798
13 Er 0.766 0.350 0.202

Computed properties:
crystal system: triclinic
total moment: 0.0001 μB/atom
energy relative to the elements: 152 meV/atom
space-group type: P-1, No. 2

---

## GaBTe2N (PBE)

Data for a geometry-optimized GaBTe2N structure.

Cell: 6.551 6.551 2.746 Å, 90.00 90.00 90.00°
Sites, in units of the cell vectors:
1 Ga 0.000 0.000 0.000
2 B 0.500 0.500 0.500
3 Te 0.000 0.500 0.500
4 Te 0.500 0.000 0.500
5 N 0.500 0.500 0.000

Computed properties:
crystal system: tetragonal
raw formation energy: 0.109 eV/atom
total moment: 0.0000 μB/atom
space-group type: P4/mmm, No. 123

---

## BeNb2ZnTe (PBE)

Data for a geometry-optimized BeNb2ZnTe structure.

Cell: 4.546 4.546 4.462 Å, 90.00 90.00 90.00°
Sites, in units of the cell vectors:
1 Be 0.000 0.000 0.000
2 Nb 0.000 0.500 0.000
3 Nb 0.500 0.000 0.000
4 Zn 0.500 0.500 0.500
5 Te 0.000 0.000 0.500

Computed properties:
crystal system: tetragonal
raw formation energy: 0.759 eV/atom
total moment: 0.0000 μB/atom
space-group type: P4/mmm, No. 123

---

## Li2PrHo2Sn2 (PBE)

Data for a geometry-optimized Li2PrHo2Sn2 structure.

Cell: 9.384 9.384 9.384 Å, 29.77 29.77 29.77°
Sites, in units of the cell vectors:
1 Li 0.088 0.088 0.088
2 Li 0.912 0.912 0.912
3 Pr 0.500 0.500 0.500
4 Ho 0.369 0.369 0.369
5 Ho 0.631 0.631 0.631
6 Sn 0.241 0.241 0.241
7 Sn 0.759 0.759 0.759

Computed properties:
crystal system: trigonal
total moment: 0.0000 μB/atom
energy relative to the elements: -466 meV/atom
space-group type: R-3m, No. 166

---

## LiMg2Rh2 (PBE)

Data for a geometry-optimized LiMg2Rh2 structure.

Cell: 7.088 7.088 3.256 Å, 90.00 90.00 90.00°
Sites, in units of the cell vectors:
1 Li 0.000 0.000 0.000
2 Li 0.500 0.500 0.000
3 Mg 0.158 0.342 0.500
4 Mg 0.342 0.842 0.500
5 Mg 0.658 0.158 0.500
6 Mg 0.842 0.658 0.500
7 Rh 0.139 0.639 0.000
8 Rh 0.361 0.139 0.000
9 Rh 0.639 0.861 0.000
10 Rh 0.861 0.361 0.000

Computed properties:
crystal system: tetragonal
total moment: 0.0000 μB/atom
energy relative to the elements: -296 meV/atom
space-group type: P4/mbm, No. 127

---

## ZrPd4Au7 (PBE)

Data for a geometry-optimized ZrPd4Au7 structure.

Cell: 6.107 6.107 9.687 Å, 118.90 118.90 48.93°
Sites, in units of the cell vectors:
1 Zr 0.000 0.000 0.000
2 Pd 0.279 0.279 0.677
3 Pd 0.431 0.431 0.226
4 Pd 0.569 0.569 0.774
5 Pd 0.721 0.721 0.323
6 Au 0.070 0.070 0.341
7 Au 0.207 0.207 0.912
8 Au 0.355 0.355 0.447
9 Au 0.500 0.500 0.000
10 Au 0.645 0.645 0.553
11 Au 0.793 0.793 0.088
12 Au 0.930 0.930 0.659

Computed properties:
crystal system: monoclinic
total moment: 0.0000 μB/atom
energy relative to the elements: 57 meV/atom
space-group type: C2/m, No. 12

---

## KNaBr3 (PBE)

Data for a geometry-optimized KNaBr3 structure.

Cell: 5.639 5.639 5.639 Å, 90.00 90.00 90.00°
Sites, in units of the cell vectors:
1 K 0.000 0.000 0.000
2 Na 0.500 0.500 0.500
3 Br 0.000 0.500 0.500
4 Br 0.500 0.000 0.500
5 Br 0.500 0.500 0.000

Computed properties:
crystal system: cubic
raw formation energy: -1.083 eV/atom
total moment: 0.2158 μB/atom
space-group type: Pm-3m, No. 221

---

## Sm3Er12Tm (PBE)

Data for a geometry-optimized Sm3Er12Tm structure.

Cell: 4.987 4.987 19.958 Å, 90.00 90.00 90.00°
Sites, in units of the cell vectors:
1 Sm 0.000 0.000 0.000
2 Sm 0.000 0.000 0.251
3 Sm 0.000 0.000 0.749
4 Er 0.000 0.500 0.126
5 Er 0.000 0.500 0.377
6 Er 0.000 0.500 0.623
7 Er 0.000 0.500 0.874
8 Er 0.500 0.000 0.126
9 Er 0.500 0.000 0.377
10 Er 0.500 0.000 0.623
11 Er 0.500 0.000 0.874
12 Er 0.500 0.500 0.000
13 Er 0.500 0.500 0.251
14 Er 0.500 0.500 0.500
15 Er 0.500 0.500 0.749
16 Tm 0.000 0.000 0.500

Computed properties:
crystal system: tetragonal
total moment: 0.0000 μB/atom
energy relative to the elements: 23 meV/atom
space-group type: P4/mmm, No. 123

---

## BaThS4 (PBE)

Data for a geometry-optimized BaThS4 structure.

Cell: 5.214 7.779 8.473 Å, 94.30 102.48 104.09°
Sites, in units of the cell vectors:
1 Ba 0.232 0.307 0.087
2 Ba 0.768 0.693 0.913
3 Th 0.131 0.781 0.470
4 Th 0.869 0.219 0.530
5 S 0.144 0.547 0.717
6 S 0.249 0.070 0.771
7 S 0.303 0.143 0.403
8 S 0.362 0.744 0.184
9 S 0.638 0.256 0.816
10 S 0.697 0.857 0.597
11 S 0.751 0.930 0.229
12 S 0.856 0.453 0.283

Computed properties:
crystal system: triclinic
raw formation energy: -1.696 eV/atom
total moment: 0.0000 μB/atom
space-group type: P-1, No. 2

---

## TbNd2Cu (PBE)

Data for a geometry-optimized TbNd2Cu structure.

Cell: 11.267 11.267 11.267 Å, 18.10 18.10 18.10°
Sites, in units of the cell vectors:
1 Tb 0.000 0.000 0.000
2 Nd 0.103 0.103 0.103
3 Nd 0.897 0.897 0.897
4 Cu 0.500 0.500 0.500

Computed properties:
crystal system: trigonal
total moment: 0.0617 μB/atom
energy relative to the elements: 265 meV/atom
space-group type: R-3m, No. 166

---

## YC (PBE)

Data for a geometry-optimized YC structure.

Cell: 4.395 4.395 3.420 Å, 90.00 90.00 90.00°
Sites, in units of the cell vectors:
1 Y 0.250 0.250 0.219
2 Y 0.750 0.750 0.781
3 C 0.250 0.750 0.500
4 C 0.750 0.250 0.500

Computed properties:
crystal system: tetragonal
total moment: 0.0000 μB/atom
energy relative to the elements: 283 meV/atom
space-group type: P4/nmm, No. 129